# 1
DFT (PBE) results for LaIn2SnIr after structural relaxation.

For the total energy, the calculation gives -5.002 eV/atom.

The space group is P4/mmm (No. 123) and the conventional cell measures 5.193, 5.193 and 5.423 Å, with angles of 90.00, 90.00 and 90.00 degrees. The distinct sites, in fractional coordinates, are La at (0.000, 0.000, 0.000), In at (0.000, 0.500, 0.500), Sn at (0.500, 0.500, 0.000) and Ir at (0.000, 0.000, 0.500).



# 2
DFT (PBE) results for La2InSnIr after structural relaxation.

Its excess energy over the best structure of this formula in the dataset is 74 meV/atom.

The space group is P4/mmm (No. 123) and the conventional cell measures 5.561, 5.561 and 5.122 Å, with angles of 90.00, 90.00 and 90.00 degrees. The distinct sites, in fractional coordinates, are La at (0.000, 0.500, 0.000), In at (0.000, 0.000, 0.500), Sn at (0.500, 0.500, 0.500) and Ir at (0.500, 0.500, 0.000).



# 3
DFT (PBE) results for La2InSnIr after structural relaxation.

Its excess energy over the best structure of this formula in the dataset is 0 meV/atom.

The space group is P4/mmm (No. 123) and the conventional cell measures 5.513, 5.513 and 5.158 Å, with angles of 90.00, 90.00 and 90.00 degrees. The distinct sites, in fractional coordinates, are La at (0.000, 0.500, 0.000), In at (0.000, 0.000, 0.500), Sn at (0.500, 0.500, 0.500) and Ir at (0.000, 0.000, 0.000).



# 4
DFT (PBE) results for SrLa2InIr after structural relaxation.

Its excess energy over the best structure of this formula in the dataset is 0 meV/atom.

The space group is P4/mmm (No. 123) and the conventional cell measures 5.539, 5.539 and 5.882 Å, with angles of 90.00, 90.00 and 90.00 degrees. The distinct sites, in fractional coordinates, are Sr at (0.000, 0.000, 0.000), La at (0.000, 0.500, 0.500), In at (0.500, 0.500, 0.000) and Ir at (0.000, 0.000, 0.500).



# 5
DFT (PBE) results for SrLaIn2Ir after structural relaxation.

For the total energy, the calculation gives -4.550 eV/atom.

The space group is P4/mmm (No. 123) and the conventional cell measures 5.373, 5.373 and 5.349 Å, with angles of 90.00, 90.00 and 90.00 degrees. The distinct sites, in fractional coordinates, are Sr at (0.000, 0.000, 0.000), La at (0.500, 0.500, 0.000), In at (0.000, 0.500, 0.500) and Ir at (0.500, 0.500, 0.500).



# 6
DFT (PBE) results for SrLa2InIr after structural relaxation.

Its excess energy over the best structure of this formula in the dataset is 14 meV/atom.

The space group is P4/mmm (No. 123) and the conventional cell measures 5.628, 5.628 and 5.406 Å, with angles of 90.00, 90.00 and 90.00 degrees. The distinct sites, in fractional coordinates, are Sr at (0.000, 0.000, 0.000), La at (0.000, 0.500, 0.500), In at (0.500, 0.500, 0.000) and Ir at (0.500, 0.500, 0.500).



# 7
DFT (PBE) results for LaTmInIr after structural relaxation.

For the total energy, the calculation gives -5.717 eV/atom.

The space group is F-43m (No. 216) and the conventional cell measures 7.323, 7.323 and 7.323 Å, with angles of 90.00, 90.00 and 90.00 degrees. The distinct sites, in fractional coordinates, are La at (0.000, 0.000, 0.000), Tm at (0.000, 0.000, 0.500), In at (0.250, 0.250, 0.250) and Ir at (0.250, 0.250, 0.750).



# 8
DFT (PBE) results for LaY2InIr after structural relaxation.

For the total energy, the calculation gives -6.295 eV/atom.

The space group is P4/mmm (No. 123) and the conventional cell measures 5.439, 5.439 and 5.461 Å, with angles of 90.00, 90.00 and 90.00 degrees. The distinct sites, in fractional coordinates, are La at (0.000, 0.000, 0.000), Y at (0.000, 0.500, 0.500), In at (0.500, 0.500, 0.000) and Ir at (0.000, 0.000, 0.500).



# 9
DFT (PBE) results for La2ZnInIr after structural relaxation.

Its excess energy over the best structure of this formula in the dataset is 128 meV/atom.

The space group is P4/mmm (No. 123) and the conventional cell measures 5.517, 5.517 and 4.918 Å, with angles of 90.00, 90.00 and 90.00 degrees. The distinct sites, in fractional coordinates, are La at (0.000, 0.500, 0.000), Zn at (0.000, 0.000, 0.500), In at (0.500, 0.500, 0.500) and Ir at (0.000, 0.000, 0.000).



# 10
DFT (PBE) results for LaZn2InIr after structural relaxation.

For the total energy, the calculation gives -2.979 eV/atom.

The space group is P4/mmm (No. 123) and the conventional cell measures 5.859, 5.859 and 5.029 Å, with angles of 90.00, 90.00 and 90.00 degrees. The distinct sites, in fractional coordinates, are La at (0.000, 0.000, 0.000), Zn at (0.000, 0.500, 0.000), In at (0.500, 0.500, 0.500) and Ir at (0.000, 0.000, 0.500).



# 11
DFT (PBE) results for La2ZnInIr after structural relaxation.

Its excess energy over the best structure of this formula in the dataset is 0 meV/atom.

The space group is P2_1/m (No. 11) and the conventional cell measures 7.436, 4.559 and 8.064 Å, with angles of 90.00, 107.75 and 90.00 degrees. The distinct sites, in fractional coordinates, are La at (0.135, 0.250, 0.335), La at (0.279, 0.250, 0.949), Zn at (0.447, 0.750, 0.325), In at (0.333, 0.750, 0.650) and Ir at (0.123, 0.750, 0.089).



# 12
DFT (PBE) results for LiInIr2 after structural relaxation.

For the total energy, the calculation gives -5.629 eV/atom.

The space group is Pmmm (No. 47) and the conventional cell measures 2.935, 4.520 and 4.677 Å, with angles of 90.00, 90.00 and 90.00 degrees. The distinct sites, in fractional coordinates, are Li at (0.000, 0.000, 0.000), In at (0.500, 0.000, 0.500), Ir at (0.000, 0.500, 0.500) and Ir at (0.500, 0.500, 0.000).



# 13
DFT (PBE) results for Li7In4Ir after structural relaxation.

For the total energy, the calculation gives -2.843 eV/atom.

The space group is C2/m (No. 12) and the conventional cell measures 14.715, 4.597 and 7.296 Å, with angles of 90.00, 116.07 and 90.00 degrees. The distinct sites, in fractional coordinates, are Li at (0.000, 0.000, 0.000), Li at (0.096, 0.500, 0.404), Li at (0.162, 0.500, 0.929), Li at (0.214, 0.000, 0.633), In at (0.047, 0.000, 0.722), In at (0.180, 0.000, 0.218) and Ir at (0.000, 0.500, 0.000).